Record 1
The following is a DFT calculation (PBE) of a relaxed structure of Zn4AgIr.

Cell: 5.4316 7.2913 5.3739 Å, 90.00 63.74 90.00°
With the nearest neighbours (Å) after each atom.
Atoms (fractional coordinates):
1 Zn 0.7537 0.6876 0.2647  2 Ir 2.60-2.67, 5 Zn 2.67-2.86, 2 Ag 2.71-2.74
2 Zn 0.7463 0.1876 0.7353  2 Ir 2.60-2.67, 5 Zn 2.67-2.86, 2 Ag 2.71-2.74
3 Zn 0.2538 0.1876 0.2646  2 Ir 2.60-2.67, 5 Zn 2.67-2.86, 2 Ag 2.70-2.74
4 Zn 0.2462 0.6876 0.7354  2 Ir 2.60-2.67, 5 Zn 2.67-2.86, 2 Ag 2.70-2.74
5 Zn 0.2463 0.3124 0.7353  2 Ir 2.60-2.67, 5 Zn 2.67-2.86, 2 Ag 2.71-2.74
6 Zn 0.2537 0.8124 0.2647  2 Ir 2.60-2.67, 5 Zn 2.67-2.86, 2 Ag 2.71-2.74
7 Zn 0.7462 0.8124 0.7354  2 Ir 2.60-2.67, 5 Zn 2.67-2.86, 2 Ag 2.70-2.74
8 Zn 0.7538 0.3124 0.2646  2 Ir 2.60-2.67, 5 Zn 2.67-2.86, 2 Ag 2.70-2.74
9 Ag 0.0000 0.0000 0.0000  8 Zn 2.70-2.74, 2 Ir 2.85
10 Ag 0.5000 0.5000 0.0000  8 Zn 2.70-2.74, 2 Ir 2.85
11 Ir 0.5000 0.0000 0.5000  8 Zn 2.60-2.67, 2 Ag 2.85
12 Ir 0.0000 0.5000 0.5000  8 Zn 2.60-2.67, 2 Ag 2.85

## Properties
energy relative to the lowest polymorph listed for this composition = 81 meV per atom

***

Record 2
The following is a DFT calculation (PBE) of a relaxed structure of ZnAg3Ir.

Cell: 5.0820 5.0820 5.0820 Å, 90.00 90.00 90.00°
With the nearest neighbours (Å) after each atom.
Atoms (fractional coordinates):
1 Zn 0.5000 0.5000 0.5000  12 Ag 3.59
2 Ir 0.0000 0.0000 0.0000  6 Ag 2.54
3 Ag 0.0000 0.5000 0.0000  2 Ir 2.54
4 Ag 0.0000 0.0000 0.5000  2 Ir 2.54
5 Ag 0.5000 0.0000 0.0000  2 Ir 2.54

## Properties
energy relative to the lowest polymorph listed for this composition = 35 meV per atom

***

Record 3
The following is a DFT calculation (PBE) of a relaxed structure of ZnAgIr.

Cell: 2.8090 2.8100 13.4817 Å, 90.00 90.00 119.99°
With the nearest neighbours (Å) after each atom.
Atoms (fractional coordinates):
1 Zn 0.6102 0.2203 0.0000  6 Ag 2.78, 6 Zn 2.81
2 Zn 0.2783 0.5565 0.5000  6 Ir 2.64, 6 Zn 2.81
3 Ir 0.6115 0.2230 0.3457  3 Zn 2.64, 6 Ir 2.81, 3 Ag 2.90
4 Ir 0.6115 0.2230 0.6543  3 Zn 2.64, 6 Ir 2.81, 3 Ag 2.90
5 Ag 0.2776 0.5551 0.8324  3 Zn 2.78, 6 Ag 2.81, 3 Ir 2.90
6 Ag 0.2776 0.5551 0.1676  3 Zn 2.78, 6 Ag 2.81, 3 Ir 2.90

## Properties
energy relative to the lowest polymorph listed for this composition = 5 meV per atom

***

Record 4
The following is a DFT calculation (PBE) of a relaxed structure of ZnAg2Ir.

Cell: 2.7466 4.2464 5.5044 Å, 90.00 90.00 90.00°
With the nearest neighbours (Å) after each atom.
Atoms (fractional coordinates):
1 Ag 0.0000 0.0000 0.9987  4 Ag 2.74-2.77, 4 Zn 2.88, 4 Ir 2.88
2 Ag 0.0000 0.0000 0.5013  4 Ag 2.74-2.77, 4 Zn 2.88, 4 Ir 2.88
3 Ir 0.5000 0.5000 0.2500  2 Ir 2.75, 2 Zn 2.75, 8 Ag 2.88
4 Zn 0.5000 0.5000 0.7500  2 Zn 2.75, 2 Ir 2.75, 8 Ag 2.88

***

Record 5
The following is a DFT calculation (PBE) of a relaxed structure of ZnAg2Ir.

Cell: 3.8717 3.8717 4.2405 Å, 90.00 90.00 90.00°
With the nearest neighbours (Å) after each atom.
Atoms (fractional coordinates):
1 Ag 0.0000 0.0000 0.0000  4 Ag 2.74, 4 Ir 2.87, 4 Zn 2.87
2 Ag 0.5000 0.5000 0.0000  4 Ag 2.74, 4 Zn 2.87, 4 Ir 2.87
3 Ir 0.5000 0.0000 0.5000  4 Zn 2.74, 8 Ag 2.87
4 Zn 0.0000 0.5000 0.5000  4 Ir 2.74, 8 Ag 2.87

***

Record 6
The following is a DFT calculation (PBE) of a relaxed structure of ZnAgIr.

Cell: 7.2159 6.9711 2.7680 Å, 83.77 73.81 22.42°
With the nearest neighbours (Å) after each atom.
Atoms (fractional coordinates):
1 Ag 0.0040 0.0040 0.9960  2 Zn 2.70, 6 Ag 2.77-2.89, 2 Ir 2.84
2 Ir 0.3248 0.3248 0.6752  2 Zn 2.55, 4 Ir 2.77, 2 Ag 2.84
3 Zn 0.6712 0.6712 0.3288  2 Ir 2.55, 2 Ag 2.70, 4 Zn 2.77

## Properties
energy relative to the lowest polymorph listed for this composition = 58 meV per atom

***

Number 1: energy relative to the elements -0.086 eV/f.u.. Number 2: energy relative to the elements 5.884 eV/f.u.. Number 3: energy relative to the elements 0.171 eV/f.u.. Number 4: energy relative to the elements 0.924 eV/f.u.. Number 5: energy relative to the elements 0.595 eV/f.u.. Number 6: energy relative to the elements 0.328 eV/f.u..